Entry 1:
The following is a PBE calculation of a relaxed TcOs2Ru5 crystal, from Alexandria.

As for the energy: -0.3651 Ha/atom. The density of states at the Fermi level comes out at 0.617 states/eV/atom.

The structure belongs to space group Fmm2 (No. 42); the cell edges are 5.474, 8.632 and 9.512 Å and the angles 90.00°, 90.00° and 90.00°. The distinct sites, in fractional coordinates, are Tc at (0.000, 0.000, 0.000), Os at (0.000, 0.250, 0.165), Ru at (0.000, 0.000, 0.500), Ru at (0.250, 0.000, 0.249) and Ru at (0.250, 0.250, 0.417).



Entry 2:
The following is a PBE calculation of a relaxed CuAs2P crystal, from Alexandria.

As for the energy: -0.1559 Ha/atom. The density of states at the Fermi level comes out at 0.366 states/eV/atom.

The structure belongs to space group Pmmm (No. 47); the cell edges are 2.718, 3.476 and 6.953 Å and the angles 90.00°, 90.00° and 90.00°. The distinct sites, in fractional coordinates, are Cu at (0.000, 0.000, 0.000), As at (0.500, 0.500, 0.232) and P at (0.000, 0.000, 0.500).



Entry 3:
The following is a PBE calculation of a relaxed La8Sn2N3 crystal, from Alexandria.

As for the energy: -0.2362 Ha/atom. As for the raw formation energy: -0.86 eV per atom. The density of states at the Fermi level comes out at 0.857 states/eV/atom.

The structure belongs to space group P4/mmm (No. 123); the cell edges are 5.004, 5.004 and 14.736 Å and the angles 90.00°, 90.00° and 90.00°. The distinct sites, in fractional coordinates, are La at (0.000, 0.000, 0.175), La at (0.000, 0.500, 0.000), La at (0.000, 0.500, 0.360), Sn at (0.500, 0.500, 0.184), N at (0.000, 0.000, 0.000) and N at (0.000, 0.000, 0.339).



Entry 4:
The following is a PBE calculation of a relaxed Mg3PN crystal, from Alexandria.

As for the energy: -0.1118 Ha/atom. The energy above the most stable polymorph in this dataset comes out at 1398.1 meV/atom. As for the raw formation energy: 0.66 eV per atom. The density of states at the Fermi level comes out at 0.580 states/eV/atom.

The structure belongs to space group I-4m2 (No. 119); the cell edges are 4.803, 4.803 and 18.195 Å and the angles 90.00°, 90.00° and 90.00°. The distinct sites, in fractional coordinates, are Mg at (0.000, 0.000, 0.200), Mg at (0.000, 0.244, 0.618), P at (0.000, 0.000, 0.500), P at (0.000, 0.500, 0.750) and N at (0.000, 0.500, 0.160).



Entry 5:
The following is a PBE calculation of a relaxed ThSiOs2C crystal, from Alexandria.

As for the energy: -0.3463 Ha/atom. As for the raw formation energy: -0.52 eV per atom. The density of states at the Fermi level comes out at 0.422 states/eV/atom.

The structure belongs to space group Cmcm (No. 63); the cell edges are 3.988, 11.252 and 7.189 Å and the angles 90.00°, 90.00° and 90.00°. The distinct sites, in fractional coordinates, are Th at (0.000, 0.054, 0.250), Si at (0.000, 0.227, 0.750), Os at (0.000, 0.335, 0.056) and C at (0.000, 0.500, 0.000).



Entry 6:
The following is a PBE calculation of a relaxed ErZrFe crystal, from Alexandria.

As for the energy: -0.2628 Ha/atom. The energy above the most stable polymorph in this dataset comes out at 27.0 meV/atom. The density of states at the Fermi level comes out at 1.277 states/eV/atom.

The structure belongs to space group P6_222 (No. 180); the cell edges are 6.2495, 6.2495 and 11.4068 Å and the angles 90.00°, 90.00° and 120.00°. The distinct sites, in fractional coordinates, are Er at (0.0000, 0.0000, 0.0000), Er at (0.0000, 0.5000, 0.1667), Zr at (0.0000, 0.5000, 0.4549) and Fe at (0.2042, 0.6021, 0.6667).



Entry 7:
The following is a PBE calculation of a relaxed Li2Ag2GeAu4 crystal, from Alexandria.

As for the energy: -0.1142 Ha/atom. The density of states at the Fermi level comes out at 0.214 states/eV/atom.

The structure belongs to space group I4/mmm (No. 139); the cell edges are 6.369, 6.369 and 8.205 Å and the angles 90.00°, 90.00° and 90.00°. The distinct sites, in fractional coordinates, are Li at (0.000, 0.000, 0.202), Ag at (0.000, 0.500, 0.250), Ge at (0.000, 0.000, 0.500) and Au at (0.224, 0.224, 0.000).



Entry 8:
The following is a PBE calculation of a relaxed Zn4Cu3Ru crystal, from Alexandria.

As for the energy: -0.1251 Ha/atom. The density of states at the Fermi level comes out at 0.577 states/eV/atom.

The structure belongs to space group P4/mmm (No. 123); the cell edges are 3.939, 3.939 and 6.844 Å and the angles 90.00°, 90.00° and 90.00°. The distinct sites, in fractional coordinates, are Zn at (0.000, 0.500, 0.249), Cu at (0.000, 0.000, 0.000), Cu at (0.000, 0.000, 0.500), Cu at (0.500, 0.500, 0.000) and Ru at (0.500, 0.500, 0.500).



Entry 9:
The following is a PBE calculation of a relaxed NbAsRuSe2 crystal, from Alexandria.

As for the energy: -0.1988 Ha/atom. As for the raw formation energy: 0.78 eV per atom. The density of states at the Fermi level comes out at 1.509 states/eV/atom.

The structure belongs to space group P4/mmm (No. 123); the cell edges are 4.821, 4.821 and 4.640 Å and the angles 90.00°, 90.00° and 90.00°. The distinct sites, in fractional coordinates, are Nb at (0.000, 0.000, 0.000), As at (0.500, 0.500, 0.000), Ru at (0.500, 0.500, 0.500) and Se at (0.000, 0.500, 0.500).



Entry 10:
The following is a PBE calculation of a relaxed V2WCN crystal, from Alexandria.

As for the energy: -0.2675 Ha/atom. As for the raw formation energy: 2.47 eV per atom. The density of states at the Fermi level comes out at 2.241 states/eV/atom.

The structure belongs to space group P4/mmm (No. 123); the cell edges are 4.666, 4.666 and 3.872 Å and the angles 90.00°, 90.00° and 90.00°. The distinct sites, in fractional coordinates, are V at (0.000, 0.500, 0.000), W at (0.000, 0.000, 0.000), C at (0.000, 0.000, 0.500) and N at (0.500, 0.500, 0.500).



Entry 11:
The following is a PBE calculation of a relaxed TbTa2Co9 crystal, from Alexandria.

As for the energy: -0.2886 Ha/atom. The density of states at the Fermi level comes out at 1.469 states/eV/atom.

The structure belongs to space group R-3m (No. 166, hexagonal axes); the cell edges are 4.8110, 4.8110 and 23.4138 Å and the angles 90.00°, 90.00° and 120.00°. The distinct sites, in fractional coordinates, are Tb at (0.0000, 0.0000, 0.0000), Ta at (0.0000, 0.0000, 0.1411), Co at (0.0000, 0.0000, 0.3355), Co at (0.0000, 0.0000, 0.5000) and Co at (0.0069, 0.5035, 0.9135).



Entry 12:
The following is a PBE calculation of a relaxed AcLu2Te crystal, from Alexandria.

As for the energy: -0.1577 Ha/atom. The energy above the most stable polymorph in this dataset comes out at 252.2 meV/atom. As for the raw formation energy: -0.22 eV per atom. The density of states at the Fermi level comes out at 1.141 states/eV/atom.

The structure belongs to space group R-3m (No. 166, hexagonal axes); the cell edges are 3.8183, 3.8183 and 33.4871 Å and the angles 90.00°, 90.00° and 120.00°. The distinct sites, in fractional coordinates, are Ac at (0.0000, 0.0000, 0.0000), Lu at (0.0000, 0.0000, 0.1061) and Te at (0.0000, 0.0000, 0.5000).